[1]
Entry from the Alexandria database: a geometry-optimized K2NaTiBi structure (GGA-PBE).

a b c (Å): 6.375 6.375 5.843
angles (deg): 90.00 90.00 90.00
Space group P4/mmm (No. 123)
One atom of each set of equivalent atoms:
K (0.000, 0.500, 0.000) x2
Na (0.000, 0.000, 0.500) x1
Ti (0.000, 0.000, 0.000) x1
Bi (0.500, 0.500, 0.500) x1

=====

[2]
Entry from the Alexandria database: a geometry-optimized AcPm7Y3 structure (GGA-PBE).

a b c (Å): 11.853 10.135 6.619
angles (deg): 90.00 95.12 90.00
Space group C2/m (No. 12)
One atom of each set of equivalent atoms:
Ac (0.000, 0.000, 0.000) x2
Pm (0.000, 0.000, 0.500) x2
Pm (0.234, 0.500, 0.703) x4
Pm (0.249, 0.324, 0.242) x8
Y (0.000, 0.330, 0.500) x4
Y (0.000, 0.500, 0.000) x2

=====

no.,M_tot (μB/f.u.),calculated total energy (eV per atom)
1,2.00,-2.100
2,0.00,-4.946